YV | the Alexandria database | PBE | optimized geometry; Fermi-level density of states = 1.080 states/eV/atom; mass density = 5.02 g/cm3; relative energy among the computed polymorphs = 0.1191 eV per atom; size of the total moment = 0.0 μB/cell
1.0
3.476 -2.596 0.000
3.476 2.596 0.000
-3.420 0.000 5.123
Y V
2 2
direct
0.156 0.156 0.318
0.844 0.844 0.682
0.362 0.362 0.002
0.638 0.638 0.998

=====

YV | the Alexandria database | PBE | optimized geometry; Fermi-level density of states = 1.608 states/eV/atom; mass density = 4.42 g/cm3; relative energy among the computed polymorphs = 0.8416 eV per atom; size of the total moment = 3.7 μB/cell
1.0
0.000 2.972 2.972
2.972 0.000 2.972
2.972 2.972 0.000
Y V
1 1
direct
0.000 0.000 0.000
0.500 0.500 0.500

=====

YV | the Alexandria database | PBE | optimized geometry; Fermi-level density of states = 1.645 states/eV/atom; mass density = 3.02 g/cm3; relative energy among the computed polymorphs = 1.7720 eV per atom; size of the total moment = 5.5 μB/cell
1.0
0.000 3.376 3.376
3.376 0.000 3.376
3.376 3.376 0.000
Y V
1 1
direct
0.000 0.000 0.000
0.250 0.250 0.250

=====

YV | the Alexandria database | PBE | optimized geometry; Fermi-level density of states = 1.551 states/eV/atom; mass density = 4.89 g/cm3; relative energy among the computed polymorphs = 0.2281 eV per atom; size of the total moment = 3.5 μB/cell
1.0
3.622 0.000 0.000
0.000 3.622 0.000
0.000 0.000 3.622
Y V
1 1
direct
0.000 0.000 0.000
0.500 0.500 0.500